# InNiCl2

A relaxed InNiCl2 crystal (PBE, Alexandria via LeMat-Bulk).

CIF file:
```
data_InNiCl2
_chemical_formula_sum 'In2 Ni2 Cl4'
_cell_length_a 5.860
_cell_length_b 9.378
_cell_length_c 3.393
_cell_angle_alpha 90.00
_cell_angle_beta 90.00
_cell_angle_gamma 90.00
_space_group_name_H-M_alt 'C m m m'
_space_group_IT_number 65
_space_group_name_Hall '-C 2 2'
loop_
_atom_site_label
_atom_site_fract_x
_atom_site_fract_y
_atom_site_fract_z
In1 0.000 0.000 0.000
Ni1 0.000 0.500 0.000
Cl1 0.000 0.334 0.500
```

The density of states at the Fermi level is 0.365 states/eV per atom. The value obtained for the volume is 186 Å³ per cell. The value obtained for the total energy is -3.505 eV/atom. The value obtained for the uncorrected formation energy is -0.45 eV/atom. As for the energy above the lowest structure with this stoichiometry: 21 meV/atom.